A plane-wave DFT calculation with GGA-PBE was carried out for a relaxed TbYCo2Ge4 crystal.

The total energy comes out at -6.118 eV per atom.

It has space group Amm2 (No. 38), with a = 4.158 Å, b = 4.145 Å, c = 16.586 Å, α = 90.00°, β = 90.00° and γ = 90.00°. The inequivalent atoms are Tb at (0.000, 0.000, 0.000), Y at (0.500, 0.000, 0.218), Co at (0.000, 0.000, 0.790), Co at (0.500, 0.000, 0.428), Ge at (0.000, 0.000, 0.360), Ge at (0.000, 0.000, 0.654), Ge at (0.500, 0.000, 0.564) and Ge at (0.500, 0.000, 0.858).